Computed, not measured: Ce2MgN after structural relaxation at the PBE level of DFT.

Unit cell a=3.443 b=3.443 c=26.837 alpha=90.00 beta=90.00 gamma=120.00
Fractional positions:
Ce  0.000  0.000  0.000
Ce  0.000  0.000  0.227
Ce  0.333  0.667  0.667
Ce  0.333  0.667  0.894
Ce  0.667  0.333  0.333
Ce  0.667  0.333  0.560
Mg  0.000  0.000  0.779
Mg  0.333  0.667  0.446
Mg  0.667  0.333  0.113
N  0.000  0.000  0.614
N  0.333  0.667  0.280
N  0.667  0.333  0.947

The value obtained for the formation energy (no corrections) is -260.5 kJ/mol of formula units. Its offset from the most stable computed form is 0 meV/atom. The value obtained for the calculated total energy is -6.12 eV per atom.